Material: Tc2PdPtSe
Method: DFT, PBE-GGA
State: optimized geometry

## Properties
Total moment   1.9 Bohr magnetons per cell
Energy relative to the elements, uncorrected   1.022 eV per atom
Final energy   -6.068 eV/atom
ρ   10.2 g cm⁻³

a b c (Å): 4.531 4.552 4.531
angles (deg): 90.00 90.00 90.00
Atoms (fractional coordinates):
Se: 0.000 0.000 0.000
Pd: 0.000 0.500 0.000
Pt: 0.500 0.500 0.500
Tc: 0.000 0.000 0.500
Tc: 0.500 0.000 0.000